No. 1
# Nd3Sm4Ho (PBE, optimized geometry)
data_Nd3Sm4Ho
_cell_length_a 23.718
_cell_length_b 3.510
_cell_length_c 6.901
_cell_angle_alpha 90.00
_cell_angle_beta 106.88
_cell_angle_gamma 90.00
_space_group_name_H-M_alt 'C 1 2/m 1'
_space_group_IT_number 12
_space_group_name_Hall '-C 2y'
loop_
_atom_site_label
_atom_site_type_symbol
_atom_site_fract_x
_atom_site_fract_y
_atom_site_fract_z
Nd1 Nd 0.000 0.000 0.000
Nd2 Nd 0.125 0.000 0.385
Sm1 Sm 0.124 0.000 0.865
Sm2 Sm 0.241 0.500 0.745
Ho1 Ho 0.000 0.500 0.500
# **V**: 34.4 Å³ per atom
# **Energy relative to the elements**: 1.23 eV per formula unit
# **Calculated total energy**: -4.57 eV/atom
# **Polymorph energy (0 for the lowest one)**: 0.1235 eV/atom



No. 2
# AlAg3W (PBE, optimized geometry)
data_AlAg3W
_cell_length_a 5.121
_cell_length_b 5.121
_cell_length_c 5.121
_cell_angle_alpha 90.00
_cell_angle_beta 90.00
_cell_angle_gamma 90.00
_space_group_name_H-M_alt 'P m -3 m'
_space_group_IT_number 221
_space_group_name_Hall '-P 4 2 3'
loop_
_atom_site_label
_atom_site_type_symbol
_atom_site_fract_x
_atom_site_fract_y
_atom_site_fract_z
Al1 Al 0.000 0.000 0.000
Ag1 Ag 0.000 0.500 0.500
W1 W 0.500 0.500 0.500
# **V**: 26.9 Å³ per atom
# **Energy relative to the elements**: 8.70 eV per formula unit
# **Calculated total energy**: -3.31 eV/atom
# **Polymorph energy (0 for the lowest one)**: 0.3064 eV/atom



Please write out number 2 again, unchanged.
# AlAg3W (PBE, optimized geometry)
data_AlAg3W
_cell_length_a 5.121
_cell_length_b 5.121
_cell_length_c 5.121
_cell_angle_alpha 90.00
_cell_angle_beta 90.00
_cell_angle_gamma 90.00
_space_group_name_H-M_alt 'P m -3 m'
_space_group_IT_number 221
_space_group_name_Hall '-P 4 2 3'
loop_
_atom_site_label
_atom_site_type_symbol
_atom_site_fract_x
_atom_site_fract_y
_atom_site_fract_z
Al1 Al 0.000 0.000 0.000
Ag1 Ag 0.000 0.500 0.500
W1 W 0.500 0.500 0.500
# **V**: 26.9 Å³ per atom
# **Energy relative to the elements**: 8.70 eV per formula unit
# **Calculated total energy**: -3.31 eV/atom
# **Polymorph energy (0 for the lowest one)**: 0.3064 eV/atom



Repeat the first record exactly.
# Nd3Sm4Ho (PBE, optimized geometry)
data_Nd3Sm4Ho
_cell_length_a 23.718
_cell_length_b 3.510
_cell_length_c 6.901
_cell_angle_alpha 90.00
_cell_angle_beta 106.88
_cell_angle_gamma 90.00
_space_group_name_H-M_alt 'C 1 2/m 1'
_space_group_IT_number 12
_space_group_name_Hall '-C 2y'
loop_
_atom_site_label
_atom_site_type_symbol
_atom_site_fract_x
_atom_site_fract_y
_atom_site_fract_z
Nd1 Nd 0.000 0.000 0.000
Nd2 Nd 0.125 0.000 0.385
Sm1 Sm 0.124 0.000 0.865
Sm2 Sm 0.241 0.500 0.745
Ho1 Ho 0.000 0.500 0.500
# **V**: 34.4 Å³ per atom
# **Energy relative to the elements**: 1.23 eV per formula unit
# **Calculated total energy**: -4.57 eV/atom
# **Polymorph energy (0 for the lowest one)**: 0.1235 eV/atom